Density functional theory data (PBE) for crystalline Ce2DyGa at its relaxed geometry.

Structure (POSCAR):
```
Ce2DyGa
1.0
3.893 0.000 0.000
0.000 3.893 0.000
0.000 0.000 7.204
Ce Dy Ga
2 1 1
Direct
0.000 0.000 0.194
0.000 0.000 0.806
0.500 0.500 0.500
0.500 0.500 0.000
```

Computed properties:
**Energy above the lowest structure with this stoichiometry**: 115.3 meV/atom
**ΔH_f (0 K)**: -17 kJ/mol of atoms
**Magnetization**: 0.00 μB per cell
**Total energy**: -20.2 eV per cell


Density functional theory data (PBE) for crystalline LaAlCl2 at its relaxed geometry.

Structure (POSCAR):
```
LaAlCl2
1.0
3.663 0.000 0.000
-1.831 3.172 0.000
0.000 0.000 29.931
La Al Cl
3 3 6
Direct
0.000 0.000 0.000
0.333 0.667 0.667
0.667 0.333 0.333
0.000 0.000 0.246
0.333 0.667 0.912
0.667 0.333 0.579
0.000 0.000 0.526
0.000 0.000 0.732
0.333 0.667 0.193
0.333 0.667 0.399
0.667 0.333 0.065
0.667 0.333 0.859
```

Computed properties:
**Energy above the lowest structure with this stoichiometry**: 135.8 meV/atom
**Magnetization**: 2.04 μB per cell
**Total energy**: -49.4 eV per cell


Please write out number 2 again, unchanged.
Density functional theory data (PBE) for crystalline LaAlCl2 at its relaxed geometry.

Structure (POSCAR):
```
LaAlCl2
1.0
3.663 0.000 0.000
-1.831 3.172 0.000
0.000 0.000 29.931
La Al Cl
3 3 6
Direct
0.000 0.000 0.000
0.333 0.667 0.667
0.667 0.333 0.333
0.000 0.000 0.246
0.333 0.667 0.912
0.667 0.333 0.579
0.000 0.000 0.526
0.000 0.000 0.732
0.333 0.667 0.193
0.333 0.667 0.399
0.667 0.333 0.065
0.667 0.333 0.859
```

Computed properties:
**Energy above the lowest structure with this stoichiometry**: 135.8 meV/atom
**Magnetization**: 2.04 μB per cell
**Total energy**: -49.4 eV per cell